Compound: TlCrI4
Source: Alexandria
Functional: GGA-PBE
Structure: relaxed

Results
- ρ: 5.2 g/cm³
- Size of the total moment: 1.98 μB per formula unit
- Energy relative to the elements, uncorrected: -0.262 eV/atom

a = 20.392 Å, b = 7.558 Å, c = 6.772 Å
α = 90.00°, β = 109.28°, γ = 90.00°
Space group C2/m (No. 12)
Asymmetric unit:
Tl 0.243 0.000 0.244
Cr 0.000 0.500 0.314
I 0.000 0.273 0.000
I 0.091 0.273 0.591
I 0.229 0.500 0.229

***

Compound: TlVCrI6
Source: Alexandria
Functional: GGA-PBE
Structure: relaxed

Results
- ρ: 5.0 g/cm³
- Size of the total moment: 6.00 μB per formula unit
- Energy relative to the elements, uncorrected: -0.461 eV/atom

a = 7.2650 Å, b = 7.2650 Å, c = 7.7186 Å
α = 90.00°, β = 90.00°, γ = 120.00°
Space group P312 (No. 149)
Asymmetric unit:
Tl 0.0000 0.0000 0.0000
V 0.6667 0.3333 0.5000
Cr 0.3333 0.6667 0.5000
I 0.0030 0.3695 0.7045

***

Compound: TlZn2CrI
Source: Alexandria
Functional: GGA-PBE
Structure: relaxed

Results
- ρ: 4.3 g/cm³
- Size of the total moment: 5.24 μB per formula unit
- Energy relative to the elements, uncorrected: 1.070 eV/atom

a = 5.522 Å, b = 5.522 Å, c = 6.473 Å
α = 90.00°, β = 90.00°, γ = 90.00°
Space group P4/mmm (No. 123)
Asymmetric unit:
Tl 0.000 0.000 0.000
Zn 0.000 0.500 0.500
Cr 0.500 0.500 0.000
I 0.000 0.000 0.500

***

Compound: TmCrI6
Source: Alexandria
Functional: GGA-PBE
Structure: relaxed

Results
- ρ: 5.5 g/cm³
- Size of the total moment: 2.98 μB per formula unit
- Energy relative to the elements, uncorrected: -0.761 eV/atom

a = 7.2777 Å, b = 7.2777 Å, c = 19.5448 Å
α = 90.00°, β = 90.00°, γ = 120.00°
Space group R-3 (No. 148, hexagonal axes)
Asymmetric unit:
Tm 0.0000 0.0000 0.0000
Cr 0.0000 0.0000 0.5000
I 0.0015 0.3141 0.5804

***

Compound: UCrI
Source: Alexandria
Functional: GGA-PBE
Structure: relaxed

Results
- ρ: 9.6 g/cm³
- Size of the total moment: 1.12 μB per formula unit
- Energy relative to the elements, uncorrected: 0.288 eV/atom

a = 12.669 Å, b = 3.610 Å, c = 7.167 Å
α = 90.00°, β = 117.99°, γ = 90.00°
Space group C2/m (No. 12)
Asymmetric unit:
U 0.245 0.000 0.277
Cr 0.173 0.000 0.949
I 0.028 0.500 0.273

***

Compound: UCrI6
Source: Alexandria
Functional: GGA-PBE
Structure: relaxed

Results
- ρ: 4.9 g/cm³
- Size of the total moment: 6.00 μB per formula unit
- Energy relative to the elements, uncorrected: -0.599 eV/atom

a = 7.387 Å, b = 14.021 Å, c = 7.397 Å
α = 90.00°, β = 111.11°, γ = 90.00°
Space group C2/m (No. 12)
Asymmetric unit:
U 0.000 0.000 0.000
Cr 0.000 0.500 0.500
I 0.227 0.355 0.730
I 0.240 0.000 0.756

***

Compound: VCrI
Source: Alexandria
Functional: GGA-PBE
Structure: relaxed

Results
- ρ: 5.7 g/cm³
- Size of the total moment: 0.00 μB per formula unit
- Energy relative to the elements, uncorrected: 0.325 eV/atom

a = 11.307 Å, b = 5.785 Å, c = 4.125 Å
α = 90.00°, β = 90.00°, γ = 90.00°
Space group Pbcm (No. 57)
Asymmetric unit:
V 0.166 0.117 0.250
Cr 0.005 0.122 0.750
I 0.326 0.001 0.750

***

Compound: VCrI2
Source: Alexandria
Functional: GGA-PBE
Structure: relaxed

Results
- ρ: 5.9 g/cm³
- Size of the total moment: 8.60 μB per formula unit
- Energy relative to the elements, uncorrected: 0.663 eV/atom

a = 7.379 Å, b = 7.379 Å, c = 7.379 Å
α = 90.00°, β = 90.00°, γ = 90.00°
Space group Fm-3m (No. 225)
Asymmetric unit:
V 0.000 0.000 0.000
Cr 0.000 0.000 0.500
I 0.250 0.250 0.250

***

Question: Number 1 is which compound?
Answer: TlCrI4